TlHgAs2 after structural relaxation. Source: Alexandria, functional GGA-PBEsol.

Calculated values
The calculation puts the energy relative to the elements at 1.9 kcal/mol of atoms.

abc: 5.9511 5.9511 5.4830
angles: 116.72 116.72 34.90
Closest atoms and distances in Å follow each position.
Atoms (fractional coordinates):
Tl 0.0000 0.0000 0.0000  5 As 3.09-3.29, 1 Hg 3.10
Hg 0.8062 0.8062 0.3689  5 As 3.10-3.34, 1 Tl 3.10
As 0.2315 0.2315 0.8548  2 As 2.46
As 0.5851 0.5851 0.5596  2 As 2.46